VASP calculation (PBE-GGA) on a relaxed TcW3I crystal.

Results
distance to the lowest polymorph of the same formula = 0 meV/atom
Fermi-level density of states = 1.51 states/eV per atom
formation energy without anion corrections = 2167 meV per atom
crystal system = cubic
calculated volume = 110 Å³ per cell

Cell: 4.796 4.796 4.796 Å, 90.00 90.00 90.00°
Space group Pm-3m (No. 221)
One atom of each set of equivalent atoms:
Tc1 0.000 0.000 0.000 (multiplicity 1)
W1 0.000 0.000 0.500 (multiplicity 3)
I1 0.500 0.500 0.500 (multiplicity 1)